Below is an optimized crystal structure of ZnBiPt2, with properties calculated at the GGA-PBE level.

Results
E = -4.3252 eV/atom
DFT formation energy = -6.2 kJ/mol of formula units
Crystal system = tetragonal

Cell and atoms, written as CIF:
```
data_ZnBiPt2
_chemical_formula_sum 'Zn4 Bi4 Pt8'
_space_group_name_H-M_alt 'I -4 2 d'
_space_group_IT_number 122
_space_group_name_Hall 'I -4 2bw'
_cell_length_a 4.169
_cell_length_b 4.169
_cell_length_c 18.119
_cell_angle_alpha 90.00
_cell_angle_beta 90.00
_cell_angle_gamma 90.00
loop_
_atom_site_label
_atom_site_fract_x
_atom_site_fract_y
_atom_site_fract_z
Zn1 0.000 0.000 0.000
Bi1 0.000 0.000 0.500
Pt1 0.229 0.250 0.125
```



Below is an optimized crystal structure of La3Ir, with properties calculated at the GGA-PBE level.

Results
E = -6.0726 eV/atom
DFT formation energy = -62.4 kJ/mol of formula units
Crystal system = orthorhombic

Cell and atoms, written as CIF:
```
data_La3Ir
_chemical_formula_sum 'La3 Ir1'
_space_group_name_H-M_alt 'P m m 2'
_space_group_IT_number 25
_cell_length_a 3.750
_cell_length_b 3.762
_cell_length_c 9.628
_cell_angle_alpha 90.00
_cell_angle_beta 90.00
_cell_angle_gamma 90.00
loop_
_space_group_symop_operation_xyz
'x,y,z'
'-x,-y,z'
'-x,y,z'
'x,-y,z'
loop_
_atom_site_label
_atom_site_fract_x
_atom_site_fract_y
_atom_site_fract_z
La1 0.000 0.000 0.000
La2 0.000 0.500 0.346
La3 0.500 0.500 0.703
Ir1 0.500 0.000 0.481
```



Below is an optimized crystal structure of Zr2CdMoH, with properties calculated at the GGA-PBE level.

Results
E = -6.5622 eV/atom
Crystal system = tetragonal

Cell and atoms, written as CIF:
```
data_Zr2CdMoH
_chemical_formula_sum 'Zr2 Cd1 Mo1 H1'
_space_group_name_H-M_alt 'P 4/m m m'
_space_group_IT_number 123
_space_group_name_Hall '-P 4 2'
_cell_length_a 4.649
_cell_length_b 4.649
_cell_length_c 3.817
_cell_angle_alpha 90.00
_cell_angle_beta 90.00
_cell_angle_gamma 90.00
loop_
_atom_site_label
_atom_site_fract_x
_atom_site_fract_y
_atom_site_fract_z
Zr1 0.000 0.500 0.000
Cd1 0.000 0.000 0.500
Mo1 0.500 0.500 0.500
H1 0.500 0.500 0.000
```



Below is an optimized crystal structure of PPtSeN2, with properties calculated at the GGA-PBE level.

Results
E = -5.0730 eV/atom
Crystal system = tetragonal
Energy relative to the lowest polymorph listed for this composition = 1.846 eV per formula unit

Cell and atoms, written as CIF:
```
data_PPtSeN2
_chemical_formula_sum 'P1 Pt1 Se1 N2'
_space_group_name_H-M_alt 'P 4/m m m'
_space_group_IT_number 123
_space_group_name_Hall '-P 4 2'
_cell_length_a 3.702
_cell_length_b 3.702
_cell_length_c 8.810
_cell_angle_alpha 90.00
_cell_angle_beta 90.00
_cell_angle_gamma 90.00
loop_
_atom_site_label
_atom_site_fract_x
_atom_site_fract_y
_atom_site_fract_z
P1 0.000 0.000 0.000
Pt1 0.500 0.500 0.500
Se1 0.500 0.500 0.000
N1 0.000 0.500 0.500
```



Below is an optimized crystal structure of Ca2Pr8Tm, with properties calculated at the GGA-PBE level.

Results
E = -4.1966 eV/atom
DFT formation energy = 52.9 kJ/mol of formula units
Crystal system = monoclinic

Cell and atoms, written as CIF:
```
data_Ca2Pr8Tm
_chemical_formula_sum 'Ca4 Pr16 Tm2'
_space_group_name_H-M_alt 'C 1 2/m 1'
_space_group_IT_number 12
_cell_length_a 18.932
_cell_length_b 5.288
_cell_length_c 8.235
_cell_angle_alpha 90.00
_cell_angle_beta 104.33
_cell_angle_gamma 90.00
loop_
_space_group_symop_operation_xyz
'x,y,z'
'-x,-y,-z'
'-x,y,-z'
'x,-y,z'
'x+1/2,y+1/2,z'
'-x+1/2,-y+1/2,-z'
'-x+1/2,y+1/2,-z'
'x+1/2,-y+1/2,z'
loop_
_atom_site_label
_atom_site_fract_x
_atom_site_fract_y
_atom_site_fract_z
Ca1 0.136 0.000 0.178
Pr1 0.046 0.000 0.724
Pr2 0.089 0.500 0.459
Pr3 0.180 0.500 0.903
Pr4 0.224 0.000 0.635
Tm1 0.000 0.500 0.000
```



Below is an optimized crystal structure of LiMgZnAg2, with properties calculated at the GGA-PBE level.

Results
E = -2.2777 eV/atom
DFT formation energy = -87.2 kJ/mol of formula units
Crystal system = monoclinic

Cell and atoms, written as CIF:
```
data_LiMgZnAg2
_chemical_formula_sum 'Li2 Mg2 Zn2 Ag4'
_space_group_name_H-M_alt 'P 1 21/m 1'
_space_group_IT_number 11
_cell_length_a 5.200
_cell_length_b 4.638
_cell_length_c 7.522
_cell_angle_alpha 90.00
_cell_angle_beta 109.99
_cell_angle_gamma 90.00
loop_
_space_group_symop_operation_xyz
'x,y,z'
'-x,-y,-z'
'-x,y+1/2,-z'
'x,-y+1/2,z'
loop_
_atom_site_label
_atom_site_fract_x
_atom_site_fract_y
_atom_site_fract_z
Li1 0.064 0.250 0.411
Mg1 0.468 0.250 0.203
Zn1 0.144 0.750 0.999
Ag1 0.223 0.250 0.806
Ag2 0.367 0.750 0.391
```



Below is an optimized crystal structure of Nd3ZrAs4, with properties calculated at the GGA-PBE level.

Results
E = -6.5750 eV/atom
DFT formation energy = -1075.9 kJ/mol of formula units
Crystal system = orthorhombic

Cell and atoms, written as CIF:
```
data_Nd3ZrAs4
_chemical_formula_sum 'Nd6 Zr2 As8'
_space_group_name_H-M_alt 'C m m m'
_space_group_IT_number 65
_space_group_name_Hall '-C 2 2'
_cell_length_a 8.346
_cell_length_b 11.755
_cell_length_c 4.160
_cell_angle_alpha 90.00
_cell_angle_beta 90.00
_cell_angle_gamma 90.00
loop_
_atom_site_label
_atom_site_fract_x
_atom_site_fract_y
_atom_site_fract_z
Nd1 0.000 0.000 0.000
Nd2 0.250 0.250 0.500
Zr1 0.000 0.500 0.000
As1 0.000 0.259 0.000
As2 0.233 0.500 0.500
```



Below is an optimized crystal structure of TlAgTe2, with properties calculated at the GGA-PBE level.

Results
E = -2.9208 eV/atom
Crystal system = tetragonal

Cell and atoms, written as CIF:
```
data_TlAgTe2
_chemical_formula_sum 'Tl4 Ag4 Te8'
_space_group_name_H-M_alt 'I 4/m c m'
_space_group_IT_number 140
_space_group_name_Hall '-I 4 2c'
_cell_length_a 7.469
_cell_length_b 7.469
_cell_length_c 9.119
_cell_angle_alpha 90.00
_cell_angle_beta 90.00
_cell_angle_gamma 90.00
loop_
_atom_site_label
_atom_site_fract_x
_atom_site_fract_y
_atom_site_fract_z
Tl1 0.000 0.000 0.250
Ag1 0.000 0.500 0.250
Te1 0.151 0.349 0.000
```



Question: The lowest E belongs to which entry?
Answer: Nd3ZrAs4